This record from Alexandria via LeMat-Bulk describes a relaxed structure of BeTcOs2. The functional is PBE.

Results
Space group: Cmm2
Formation energy (eV/atom): 0.3746
Spin magnetization (μB per cell): 0.00
Volume (Å³ per atom): 13.48

a = 2.667 Å, b = 2.667 Å, c = 8.444 Å
α = 90.00°, β = 90.00°, γ = 116.18°
Element x y z (fractional)
Be  0.000  0.000  0.000
Tc  0.500  0.500  0.234
Os  0.000  0.000  0.500
Os  0.500  0.500  0.775


This record from Alexandria via LeMat-Bulk describes a relaxed structure of LiTlIr. The functional is PBE.

Results
E above lowest polymorph (eV per atom): 0.1848
Space group: F-43m
Formation energy (eV/atom): 0.2942
Spin magnetization (μB per cell): 0.00
Volume (Å³ per atom): 20.75

a = 4.449 Å, b = 4.449 Å, c = 4.449 Å
α = 60.00°, β = 60.00°, γ = 60.00°
Element x y z (fractional)
Li  0.000  0.000  0.000
Tl  0.500  0.500  0.500
Ir  0.250  0.250  0.250


This record from Alexandria via LeMat-Bulk describes a relaxed structure of CsIrC2. The functional is PBE.

Results
E above lowest polymorph (eV per atom): 0.0000
Space group: Fd-3m
Formation energy (eV/atom): 0.6685
Spin magnetization (μB per cell): 0.00
Volume (Å³ per atom): 21.28

a = 6.221 Å, b = 6.221 Å, c = 6.221 Å
α = 60.00°, β = 60.00°, γ = 60.00°
Element x y z (fractional)
Cs  0.125  0.125  0.125
Cs  0.875  0.875  0.875
Ir  0.375  0.375  0.375
Ir  0.625  0.625  0.625
C  0.000  0.500  0.500
C  0.500  0.000  0.500
C  0.500  0.500  0.000
C  0.500  0.500  0.500


This record from Alexandria via LeMat-Bulk describes a relaxed structure of Tb2Ga9Ir3. The functional is PBE.

Results
Space group: Cmcm
Formation energy (eV/atom): -0.6746
Spin magnetization (μB per cell): 0.00
Volume (Å³ per atom): 16.98

a = 7.585 Å, b = 7.585 Å, c = 9.523 Å
α = 90.00°, β = 90.00°, γ = 60.20°
Element x y z (fractional)
Tb  0.002  0.670  0.750
Tb  0.330  0.998  0.750
Tb  0.670  0.002  0.250
Tb  0.998  0.330  0.250
Ga  0.000  0.335  0.580
Ga  0.000  0.335  0.920
Ga  0.000  0.665  0.080
Ga  0.000  0.665  0.420
Ga  0.129  0.871  0.250
Ga  0.333  0.667  0.565
Ga  0.333  0.667  0.935
Ga  0.335  0.000  0.080
Ga  0.335  0.000  0.420
Ga  0.339  0.453  0.250
Ga  0.453  0.339  0.750
Ga  0.547  0.661  0.250
Ga  0.661  0.547  0.750
Ga  0.665  0.000  0.580
Ga  0.665  0.000  0.920
Ga  0.667  0.333  0.065
Ga  0.667  0.333  0.435
Ga  0.871  0.129  0.750
Ir  0.000  0.000  0.000
Ir  0.000  0.000  0.500
Ir  0.329  0.329  0.000
Ir  0.329  0.329  0.500
Ir  0.671  0.671  0.000
Ir  0.671  0.671  0.500


This record from Alexandria via LeMat-Bulk describes a relaxed structure of Zr2Zn. The functional is PBE.

Results
Space group: P-3m1
Formation energy (eV/atom): 0.0525
Spin magnetization (μB per cell): 0.00
Volume (Å³ per atom): 20.81

a = 4.745 Å, b = 4.745 Å, c = 3.202 Å
α = 90.00°, β = 90.00°, γ = 120.00°
Element x y z (fractional)
Zr  0.333  0.667  0.270
Zr  0.667  0.333  0.730
Zn  0.000  0.000  0.000


This record from Alexandria via LeMat-Bulk describes a relaxed structure of CrAg2Pt. The functional is PBE.

Results
E above lowest polymorph (eV per atom): 0.0323
Space group: I4/mmm
Formation energy (eV/atom): 0.1258
Spin magnetization (μB per cell): 4.00
Volume (Å³ per atom): 16.57

a = 5.128 Å, b = 5.128 Å, c = 5.128 Å
α = 135.06°, β = 135.06°, γ = 65.43°
Element x y z (fractional)
Cr  0.000  0.000  0.000
Ag  0.250  0.750  0.500
Ag  0.750  0.250  0.500
Pt  0.500  0.500  0.000


This record from Alexandria via LeMat-Bulk describes a relaxed structure of Sc2TlCd3. The functional is PBE.

Results
Space group: C2/m
Formation energy (eV/atom): -0.1420
Spin magnetization (μB per cell): 0.00
Volume (Å³ per atom): 22.91

a = 8.025 Å, b = 8.025 Å, c = 10.784 Å
α = 103.55°, β = 103.55°, γ = 24.06°
Element x y z (fractional)
Sc  0.040  0.040  0.369
Sc  0.206  0.206  0.871
Sc  0.794  0.794  0.129
Sc  0.960  0.960  0.631
Tl  0.375  0.375  0.385
Tl  0.625  0.625  0.615
Cd  0.127  0.127  0.114
Cd  0.297  0.297  0.633
Cd  0.462  0.462  0.126
Cd  0.538  0.538  0.874
Cd  0.703  0.703  0.367
Cd  0.873  0.873  0.886


This record from Alexandria via LeMat-Bulk describes a relaxed structure of Sr6Li2Ni. The functional is PBE.

Results
Space group: P2_1/c
Formation energy (eV/atom): 0.0127
Spin magnetization (μB per cell): 0.00
Volume (Å³ per atom): 42.06

a = 7.555 Å, b = 8.794 Å, c = 13.658 Å
α = 90.00°, β = 123.44°, γ = 90.00°
Element x y z (fractional)
Sr  0.122  0.173  0.450
Sr  0.122  0.327  0.950
Sr  0.292  0.697  0.449
Sr  0.292  0.803  0.949
Sr  0.367  0.024  0.253
Sr  0.367  0.476  0.753
Sr  0.633  0.524  0.247
Sr  0.633  0.976  0.747
Sr  0.708  0.197  0.051
Sr  0.708  0.303  0.551
Sr  0.878  0.673  0.050
Sr  0.878  0.827  0.550
Li  0.189  0.106  0.756
Li  0.189  0.394  0.256
Li  0.811  0.606  0.744
Li  0.811  0.894  0.244
Ni  0.500  0.000  0.500
Ni  0.500  0.500  0.000


This record from Alexandria via LeMat-Bulk describes a relaxed structure of BaScAg. The functional is PBE.

Results
E above lowest polymorph (eV per atom): 0.9102
Space group: F-43m
Formation energy (eV/atom): 0.8270
Spin magnetization (μB per cell): 0.00
Volume (Å³ per atom): 34.90

a = 5.290 Å, b = 5.290 Å, c = 5.290 Å
α = 60.00°, β = 60.00°, γ = 60.00°
Element x y z (fractional)
Ba  0.000  0.000  0.000
Sc  0.750  0.750  0.750
Ag  0.250  0.250  0.250


This record from Alexandria via LeMat-Bulk describes a relaxed structure of Na3Hg2Pd2. The functional is PBE.

Results
Space group: Pbcm
Formation energy (eV/atom): -0.1916
Spin magnetization (μB per cell): 0.00
Volume (Å³ per atom): 24.05

a = 5.737 Å, b = 8.458 Å, c = 13.875 Å
α = 90.00°, β = 90.00°, γ = 90.00°
Element x y z (fractional)
Na  0.124  0.240  0.250
Na  0.124  0.260  0.750
Na  0.359  0.607  0.095
Na  0.359  0.607  0.405
Na  0.359  0.893  0.595
Na  0.359  0.893  0.905
Na  0.641  0.107  0.095
Na  0.641  0.107  0.405
Na  0.641  0.393  0.595
Na  0.641  0.393  0.905
Na  0.876  0.740  0.250
Na  0.876  0.760  0.750
Hg  0.171  0.250  0.000
Hg  0.171  0.250  0.500
Hg  0.368  0.602  0.750
Hg  0.368  0.898  0.250
Hg  0.632  0.102  0.750
Hg  0.632  0.398  0.250
Hg  0.829  0.750  0.000
Hg  0.829  0.750  0.500
Pd  0.127  0.535  0.587
Pd  0.127  0.535  0.913
Pd  0.127  0.965  0.087
Pd  0.127  0.965  0.413
Pd  0.873  0.035  0.587
Pd  0.873  0.035  0.913
Pd  0.873  0.465  0.087
Pd  0.873  0.465  0.413


This record from Alexandria via LeMat-Bulk describes a relaxed structure of Rb2PtPbF. The functional is PBE.

Results
ΔE_f (raw) (eV per atom): -0.660
Space group: P4/mmm
Spin magnetization (μB per cell): 0.00
Volume (Å³ per atom): 28.60

a = 5.138 Å, b = 5.138 Å, c = 5.416 Å
α = 90.00°, β = 90.00°, γ = 90.00°
Element x y z (fractional)
Rb  0.000  0.500  0.000
Rb  0.500  0.000  0.000
Pt  0.000  0.000  0.500
Pb  0.500  0.500  0.500
F  0.500  0.500  0.000


This record from Alexandria via LeMat-Bulk describes a relaxed structure of PaTcNiGe2. The functional is PBE.

Results
Space group: I-4m2
Formation energy (eV/atom): -0.4106
Spin magnetization (μB per cell): 0.00
Volume (Å³ per atom): 17.24

a = 5.913 Å, b = 5.913 Å, c = 5.913 Å
α = 139.56°, β = 139.56°, γ = 58.52°
Element x y z (fractional)
Pa  0.000  0.000  0.000
Tc  0.750  0.250  0.500
Ni  0.250  0.750  0.500
Ge  0.378  0.378  0.000
Ge  0.622  0.622  0.000